(1)
DFT (SCAN) results for a PBEsol-optimized structure of RhSe2NCl.

```
RhSe2NCl
1.0
-2.277 2.696 -0.480
-1.941 -2.365 -4.084
-3.410 -2.349 2.981
N Rh Se Cl
1 1 2 1
Direct
0.500 0.000 0.000 N
0.000 0.000 0.000 Rh
0.000 0.000 0.500 Se
0.000 0.500 0.000 Se
0.500 0.500 0.500 Cl
```

Results
* M_tot: 0.0 μB per cell
* space-group type: P4/mmm (123)
* formation energy without anion corrections: 0.65 eV per atom
* N(E_F): 5.1 states/eV/cell

(2)
DFT (SCAN) results for a PBEsol-optimized structure of SbSN2Cl.

```
SbSN2Cl
1.0
-3.266 -1.237 1.854
0.282 -3.491 -1.834
2.496 -1.561 3.355
Sb S N Cl
1 1 2 1
Direct
0.500 0.500 0.500 Sb
0.000 0.000 0.500 S
0.000 0.500 0.000 N
0.500 0.000 0.000 N
0.000 0.000 0.000 Cl
```

Results
* M_tot: 0.0 μB per cell
* space-group type: P4/mmm (123)
* formation energy without anion corrections: 2.09 eV per atom
* N(E_F): 3.2 states/eV/cell